(1)
TbMgNp, optimized geometry, DFT PBE; SG = F-43m; raw total energy = -0.1970 hartree per atom
1.0
0.000 3.663 3.663
3.663 0.000 3.663
3.663 3.663 0.000
Tb Mg Np
1 1 1
Direct
0.000 0.000 0.000
0.750 0.750 0.750
0.500 0.500 0.500

(2)
MgNpTc, optimized geometry, DFT PBE; relative energy among the computed polymorphs = 0.000 eV/atom; SG = F-43m
1.0
0.000 3.199 3.199
3.199 0.000 3.199
3.199 3.199 0.000
Mg Np Tc
1 1 1
Direct
0.000 0.000 0.000
0.750 0.750 0.750
0.250 0.250 0.250

(3)
MgNpTc, optimized geometry, DFT PBE; relative energy among the computed polymorphs = 0.166 eV/atom; SG = F-43m
1.0
0.000 3.196 3.196
3.196 0.000 3.196
3.196 3.196 0.000
Mg Np Tc
1 1 1
Direct
0.000 0.000 0.000
0.250 0.250 0.250
0.500 0.500 0.500

(4)
ThMgNp, optimized geometry, DFT PBE; SG = F-43m; raw total energy = -0.2287 hartree per atom
1.0
0.000 3.629 3.629
3.629 0.000 3.629
3.629 3.629 0.000
Th Mg Np
1 1 1
Direct
0.000 0.000 0.000
0.750 0.750 0.750
0.500 0.500 0.500

(5)
MgNpW, optimized geometry, DFT PBE; SG = F-43m; raw total energy = -0.2777 hartree per atom
1.0
0.000 3.219 3.219
3.219 0.000 3.219
3.219 3.219 0.000
Mg Np W
1 1 1
Direct
0.000 0.000 0.000
0.750 0.750 0.750
0.250 0.250 0.250

(6)
MgZrNp, optimized geometry, DFT PBE; relative energy among the computed polymorphs = 0.000 eV/atom; SG = F-43m
1.0
0.000 3.482 3.482
3.482 0.000 3.482
3.482 3.482 0.000
Mg Zr Np
1 1 1
Direct
0.000 0.000 0.000
0.250 0.250 0.250
0.750 0.750 0.750

(7)
MgOs2O4, optimized geometry, DFT PBE; SG = Fd-3m; raw total energy = -0.2634 hartree per atom
1.0
0.000 4.301 4.301
4.301 0.000 4.301
4.301 4.301 0.000
Mg Os O
2 4 8
Direct
0.125 0.125 0.125
0.875 0.875 0.875
0.000 0.500 0.500
0.500 0.000 0.500
0.500 0.500 0.000
0.500 0.500 0.500
0.256 0.256 0.256
0.256 0.256 0.733
0.256 0.733 0.256
0.267 0.744 0.744
0.733 0.256 0.256
0.744 0.267 0.744
0.744 0.744 0.267
0.744 0.744 0.744

(8)
MgPOsO, optimized geometry, DFT PBE; relative energy among the computed polymorphs = 0.455 eV/atom; SG = Pmc2_1
1.0
4.307 0.000 0.000
0.000 4.419 0.000
0.000 0.000 5.700
Mg P Os O
2 2 2 2
Direct
0.000 0.223 0.000
0.000 0.777 0.500
0.500 0.143 0.713
0.500 0.857 0.213
0.500 0.354 0.349
0.500 0.646 0.849
0.000 0.400 0.315
0.000 0.600 0.815